A relaxed structure of Ta2AlIr. Source: OQMD, functional PBE-GGA.

## Properties
Space group ... No. 216

Structure (extended XYZ):
```
4
Lattice="0.0000 3.1967 3.1967 3.1967 0.0000 3.1967 3.1967 3.1967 0.0000" Properties=species:S:1:pos:R:3 pbc="T T T"
Ta 0.0000 0.0000 0.0000
Ta 1.5983 1.5983 1.5983
Al 3.1967 3.1967 3.1967
Ir 4.7950 4.7950 4.7950
```

A relaxed structure of TaAl4Ir5. Source: OQMD, functional PBE-GGA.

## Properties
Space group ... No. 123

Structure (extended XYZ):
```
10
Lattice="2.9661 0.0000 0.0000 0.0000 2.9661 0.0000 0.0000 0.0000 16.1465" Properties=species:S:1:pos:R:3 pbc="T T T"
Ta 0.0000 0.0000 0.0000
Al 0.0000 0.0000 3.4371
Al 0.0000 0.0000 6.5310
Al 0.0000 0.0000 9.6155
Al 0.0000 0.0000 12.7094
Ir 1.4831 1.4831 1.9145
Ir 1.4831 1.4831 5.0228
Ir 1.4831 1.4831 8.0732
Ir 1.4831 1.4831 11.1237
Ir 1.4831 1.4831 14.2320
```

A relaxed structure of TbAl2Ir2. Source: OQMD, functional PBE-GGA.

## Properties
Space group ... No. 139

Structure (extended XYZ):
```
5
Lattice="-1.9862 1.9862 5.7843 1.9862 -1.9862 5.7843 1.9862 1.9862 -5.7843" Properties=species:S:1:pos:R:3 pbc="T T T"
Tb 0.0000 0.0000 0.0000
Al 1.9862 0.0000 2.8921
Al 0.0000 1.9862 2.8921
Ir 0.0000 0.0000 4.4605
Ir 0.0000 0.0000 7.1080
```

| no. | M_tot (μB/cell) | total energy (eV per atom) |
| --- | --- | --- |
| 1 | 0.1 | -9.2903 |
| 2 | 0.0 | -8.0177 |
| 3 | 0.0 | -6.8438 |